The following is a PBE calculation of an optimized crystal structure of SrPa2NiN4, from the Alexandria database.

Structure (extended XYZ):
```
16
Lattice="1.785 -5.846 0.000 1.785 5.846 0.000 0.000 0.000 11.489" Properties=species:S:1:pos:R:3 pbc="T T T"
Sr 1.785 4.672 8.617
Sr 1.785 -4.672 2.872
Pa 1.785 1.556 6.460
Pa 1.785 1.556 10.774
Pa 1.785 -1.556 0.715
Pa 1.785 -1.556 5.029
Ni 1.785 3.917 2.872
Ni 1.785 -3.917 8.617
N 0.000 0.000 0.000
N 0.000 0.000 5.745
N 1.785 2.821 1.170
N 1.785 2.821 4.574
N 1.785 0.797 8.617
N 1.785 -0.797 2.872
N 1.785 -2.821 6.915
N 1.785 -2.821 10.319
```

* SG: Cmcm, No. 63
* energy relative to the elements, uncorrected: -1.298 eV per atom


The following is a PBE calculation of an optimized crystal structure of SrLa2Sc2, from the Alexandria database.

Structure (extended XYZ):
```
10
Lattice="9.580 0.000 0.000 0.000 9.580 0.000 0.000 0.000 3.750" Properties=species:S:1:pos:R:3 pbc="T T T"
Sr 0.000 0.000 0.000
Sr 4.790 4.790 0.000
La 1.230 3.560 0.000
La 3.560 8.350 0.000
La 6.019 1.230 0.000
La 8.350 6.019 0.000
Sc 1.599 6.389 1.875
Sc 3.191 1.599 1.875
Sc 6.389 7.981 1.875
Sc 7.981 3.191 1.875
```

* SG: P4/mbm, No. 127
* relative energy among the computed polymorphs: 0.0487 eV per atom
* energy of formation from the pure elements: 0.181 eV/atom


The following is a PBE calculation of an optimized crystal structure of Sr3AuO, from the Alexandria database.

Structure (extended XYZ):
```
10
Lattice="5.082 -6.983 0.000 5.082 6.983 0.000 0.000 0.000 3.956" Properties=species:S:1:pos:R:3 pbc="T T T"
Sr 3.097 1.822 1.978
Sr 5.082 4.437 0.000
Sr 3.097 -1.822 1.978
Sr 7.068 1.822 1.978
Sr 5.082 -4.437 0.000
Sr 7.068 -1.822 1.978
Au 0.000 0.000 1.978
Au 5.082 0.000 0.000
O 2.541 3.491 0.000
O 2.541 -3.491 0.000
```

* SG: Cmmm, No. 65
* energy relative to the elements, uncorrected: -1.243 eV per atom
* relative energy among the computed polymorphs: 0.0830 eV per atom


The following is a PBE calculation of an optimized crystal structure of Tm2MnAg3Se6, from the Alexandria database.

Structure (extended XYZ):
```
12
Lattice="8.680 -2.013 0.000 8.680 2.013 0.000 -1.769 0.000 7.790" Properties=species:S:1:pos:R:3 pbc="T T T"
Tm 2.300 0.000 2.471
Tm 13.291 0.000 5.319
Mn 8.680 0.000 0.000
Ag 1.641 0.000 6.397
Ag 7.795 0.000 3.895
Ag 13.949 0.000 1.393
Se -1.347 0.000 6.052
Se 5.042 0.000 3.356
Se 4.317 0.000 7.269
Se 11.273 0.000 0.521
Se 10.548 0.000 4.435
Se 16.938 0.000 1.738
```

* SG: C2/m, No. 12
* energy relative to the elements, uncorrected: -0.831 eV per atom


The following is a PBE calculation of an optimized crystal structure of PaCd2SnO6, from the Alexandria database.

Structure (extended XYZ):
```
10
Lattice="5.979 0.000 0.000 0.000 5.979 0.000 0.000 0.000 4.297" Properties=species:S:1:pos:R:3 pbc="T T T"
Pa 0.000 0.000 0.000
Cd 0.000 2.990 1.638
Cd 2.990 0.000 1.638
Sn 2.990 2.990 4.278
O 0.000 0.000 2.187
O 1.530 1.530 0.219
O 1.530 4.449 0.219
O 2.990 2.990 2.225
O 4.449 1.530 0.219
O 4.449 4.449 0.219
```

* SG: P4mm, No. 99
* energy relative to the elements, uncorrected: -1.823 eV per atom


The following is a PBE calculation of an optimized crystal structure of ZrTi3Sn, from the Alexandria database.

Structure (extended XYZ):
```
5
Lattice="4.986 0.000 0.000 0.000 4.986 0.000 0.000 0.000 4.986" Properties=species:S:1:pos:R:3 pbc="T T T"
Zr 0.000 0.000 0.000
Ti 0.000 2.493 2.493
Ti 2.493 0.000 2.493
Ti 2.493 2.493 0.000
Sn 2.493 2.493 2.493
```

* SG: Pm-3m, No. 221
* relative energy among the computed polymorphs: 1.0744 eV per atom
* energy of formation from the pure elements: 0.955 eV/atom


The following is a PBE calculation of an optimized crystal structure of YbMo6Se8, from the Alexandria database.

Structure (extended XYZ):
```
15
Lattice="4.786 2.763 3.986 -4.786 2.763 3.986 0.000 -5.526 3.986" Properties=species:S:1:pos:R:3 pbc="T T T"
Yb 0.000 0.000 0.000
Mo -1.547 -0.149 4.851
Mo 0.903 -1.265 4.851
Mo -0.644 -1.415 7.106
Mo 0.644 1.415 4.851
Mo -0.903 1.265 7.106
Mo 1.547 0.149 7.106
Se -1.196 -2.784 4.979
Se 0.000 0.000 2.852
Se -3.010 -0.356 6.978
Se -1.813 2.428 4.979
Se 1.813 -2.428 6.978
Se 3.010 0.356 4.979
Se 0.000 0.000 9.105
Se 1.196 2.784 6.978
```

* SG: R-3, No. 148
* energy relative to the elements, uncorrected: -0.706 eV per atom


The following is a PBE calculation of an optimized crystal structure of LiAlRu2, from the Alexandria database.

Structure (extended XYZ):
```
4
Lattice="2.709 0.000 0.000 0.000 4.031 0.000 -1.220 0.000 4.950" Properties=species:S:1:pos:R:3 pbc="T T T"
Li 0.000 0.000 0.000
Al 0.584 2.016 3.814
Ru -0.557 0.000 2.451
Ru 0.890 2.016 1.291
```

* SG: Pm, No. 6
* energy of formation from the pure elements: -0.088 eV/atom


The following is a PBE calculation of an optimized crystal structure of RbMo3Ir, from the Alexandria database.

Structure (extended XYZ):
```
5
Lattice="4.946 0.000 0.000 0.000 4.946 0.000 0.000 0.000 4.946" Properties=species:S:1:pos:R:3 pbc="T T T"
Rb 0.000 0.000 0.000
Mo 0.000 2.473 2.473
Mo 2.473 0.000 2.473
Mo 2.473 2.473 0.000
Ir 2.473 2.473 2.473
```

* SG: Pm-3m, No. 221
* relative energy among the computed polymorphs: 0.0000 eV per atom
* energy of formation from the pure elements: 1.715 eV/atom


The following is a PBE calculation of an optimized crystal structure of Ac2Tb5Nd, from the Alexandria database.

Structure (extended XYZ):
```
8
Lattice="-2.636 2.636 10.161 2.636 -2.636 10.161 2.636 2.636 -10.161" Properties=species:S:1:pos:R:3 pbc="T T T"
Ac 0.000 0.000 5.078
Ac 0.000 0.000 15.245
Tb 0.000 0.000 0.000
Tb 2.636 0.000 2.421
Tb 2.636 0.000 7.740
Tb 0.000 2.636 2.421
Tb 0.000 2.636 7.740
Nd 0.000 0.000 10.161
```

* SG: I4/mmm, No. 139
* energy of formation from the pure elements: 0.046 eV/atom


The following is a PBE calculation of an optimized crystal structure of CaZn3CuAu, from the Alexandria database.

Structure (extended XYZ):
```
12
Lattice="4.112 -5.568 0.000 4.112 5.568 0.000 0.000 0.000 5.391" Properties=species:S:1:pos:R:3 pbc="T T T"
Ca 4.112 3.352 4.043
Ca 4.112 -3.352 1.348
Zn 2.077 0.000 0.000
Zn 2.077 0.000 2.695
Zn 4.112 1.934 1.348
Zn 4.112 -1.934 4.043
Zn 6.146 0.000 0.000
Zn 6.146 0.000 2.695
Cu 4.112 0.468 4.043
Cu 4.112 -0.468 1.348
Au 4.112 4.559 1.348
Au 4.112 -4.559 4.043
```

* SG: Cmcm, No. 63
* energy of formation from the pure elements: -0.164 eV/atom


The following is a PBE calculation of an optimized crystal structure of CaMgCu2, from the Alexandria database.

Structure (extended XYZ):
```
4
Lattice="0.000 3.344 3.344 3.344 0.000 3.344 3.344 3.344 0.000" Properties=species:S:1:pos:R:3 pbc="T T T"
Ca 0.000 0.000 0.000
Mg 5.016 5.016 5.016
Cu 1.672 1.672 1.672
Cu 3.344 3.344 3.344
```

* SG: F-43m, No. 216
* energy of formation from the pure elements: 0.111 eV/atom


Number 1: calculated total energy -8.767 eV/atom, M_tot 0.0000 μB/atom. Number 2: calculated total energy -4.659 eV/atom, M_tot 0.0000 μB/atom. Number 3: calculated total energy -3.899 eV/atom, M_tot 0.0000 μB/atom. Number 4: calculated total energy -4.796 eV/atom, M_tot 0.3326 μB/atom. Number 5: calculated total energy -6.331 eV/atom, M_tot 0.0000 μB/atom. Number 6: calculated total energy -6.292 eV/atom, M_tot 0.3138 μB/atom. Number 7: calculated total energy -6.999 eV/atom, M_tot 0.0212 μB/atom. Number 8: calculated total energy -6.140 eV/atom, M_tot 0.0000 μB/atom. Number 9: calculated total energy -6.749 eV/atom, M_tot 0.7114 μB/atom. Number 10: calculated total energy -4.471 eV/atom, M_tot 0.0000 μB/atom. Number 11: calculated total energy -2.363 eV/atom, M_tot 0.0000 μB/atom. Number 12: calculated total energy -2.836 eV/atom, M_tot 0.0000 μB/atom.